(1)
Here is ErTmZnPb after structural relaxation from Alexandria. Energies are from PBE-GGA.

The formation energy comes out at -0.329 eV/atom.

The space group is F-43m (No. 216) and the conventional cell measures 7.3408, 7.3408 and 7.3408 Å, with angles of 90.00, 90.00 and 90.00 degrees. The inequivalent atoms are Er at (0.0000, 0.0000, 0.0000), Tm at (0.0000, 0.0000, 0.5000), Zn at (0.2500, 0.2500, 0.7500) and Pb at (0.2500, 0.2500, 0.2500).


(2)
Here is MoPRu after structural relaxation from Alexandria. Energies are from PBE-GGA.

The formation energy comes out at -0.289 eV/atom.

The space group is I4mm (No. 107) and the conventional cell measures 2.9081, 2.9081 and 9.6649 Å, with angles of 90.00, 90.00 and 90.00 degrees. The inequivalent atoms are Mo at (0.0000, 0.0000, 0.0000), P at (0.0000, 0.0000, 0.3447) and Ru at (0.0000, 0.0000, 0.6977).


(3)
Here is PmPrNd3Er after structural relaxation from Alexandria. Energies are from PBE-GGA.

The formation energy comes out at 0.105 eV/atom.

The space group is Cmcm (No. 63) and the conventional cell measures 6.0125, 11.4696 and 11.9811 Å, with angles of 90.00, 90.00 and 90.00 degrees. The inequivalent atoms are Pm at (0.0000, 0.0202, 0.2500), Pr at (0.0000, 0.5000, 0.0000), Nd at (0.0000, 0.1733, 0.5191), Nd at (0.0000, 0.3285, 0.2500) and Er at (0.0000, 0.3472, 0.7500).


(4)
Here is TbSnF6 after structural relaxation from Alexandria. Energies are from PBE-GGA.

The value obtained for the uncorrected formation energy is -3.081 eV per atom.

The space group is C2/m (No. 12) and the conventional cell measures 5.6236, 8.5904 and 5.6074 Å, with angles of 90.00, 101.36 and 90.00 degrees. The inequivalent atoms are Tb at (0.0000, 0.0000, 0.0000), Sn at (0.0000, 0.5000, 0.5000), F at (0.2378, 0.3451, 0.7546) and F at (0.2405, 0.0000, 0.7365).


(5)
Here is InAu5 after structural relaxation from Alexandria. Energies are from PBE-GGA.

The formation energy comes out at -0.053 eV/atom.

The space group is P4/mmm (No. 123) and the conventional cell measures 3.6832, 3.6832 and 8.4797 Å, with angles of 90.00, 90.00 and 90.00 degrees. The inequivalent atoms are In at (0.0000, 0.0000, 0.0000), Au at (0.0000, 0.0000, 0.3344), Au at (0.5000, 0.5000, 0.1682) and Au at (0.5000, 0.5000, 0.5000).


(6)
Here is CsSrCd2Pd after structural relaxation from Alexandria. Energies are from PBE-GGA.

The formation energy comes out at -0.201 eV/atom.

The space group is P4/mmm (No. 123) and the conventional cell measures 5.5576, 5.5576 and 5.6475 Å, with angles of 90.00, 90.00 and 90.00 degrees. The inequivalent atoms are Cs at (0.0000, 0.0000, 0.0000), Sr at (0.5000, 0.5000, 0.0000), Cd at (0.0000, 0.5000, 0.5000) and Pd at (0.5000, 0.5000, 0.5000).


(7)
Here is Sm3GeP after structural relaxation from Alexandria. Energies are from PBE-GGA.

The formation energy comes out at -0.990 eV/atom.

The space group is Pnma (No. 62) and the conventional cell measures 7.9390, 4.1870 and 15.8535 Å, with angles of 90.00, 90.00 and 90.00 degrees. The inequivalent atoms are Sm at (0.0072, 0.2500, 0.1034), Sm at (0.1362, 0.7500, 0.4402), Sm at (0.1539, 0.2500, 0.7146), Ge at (0.1379, 0.2500, 0.2960) and P at (0.2264, 0.7500, 0.0408).


(8)
Here is BaAs3Pd6 after structural relaxation from Alexandria. Energies are from PBE-GGA.

The formation energy comes out at -0.451 eV/atom.

The space group is P1 (No. 1) and the conventional cell measures 6.5711, 6.5813 and 6.6056 Å, with angles of 61.02, 60.90 and 60.43 degrees. The inequivalent atoms are Ba at (0.0000, 0.0000, 0.0000), As at (0.1980, 0.1924, 0.2044), As at (0.4444, 0.4393, 0.4531), As at (0.7094, 0.7098, 0.7243), Pd at (0.0343, 0.4402, 0.4820), Pd at (0.1015, 0.5520, 0.8165), Pd at (0.4374, 0.4742, 0.0442), Pd at (0.4805, 0.0327, 0.4440), Pd at (0.5612, 0.7991, 0.1126) and Pd at (0.8122, 0.0940, 0.5625).


(9)
Here is Ac5Zn3Ge12 after structural relaxation from Alexandria. Energies are from PBE-GGA.

The formation energy comes out at 0.062 eV/atom.

The space group is Ia-3d (No. 230) and the conventional cell measures 16.9496, 16.9496 and 16.9496 Å, with angles of 90.00, 90.00 and 90.00 degrees. The inequivalent atoms are Ac at (0.0000, 0.0000, 0.0000), Ac at (0.0000, 0.2500, 0.3750), Zn at (0.0000, 0.2500, 0.1250) and Ge at (0.0014, 0.1018, 0.6519).


(10)
Here is Hf2IrN after structural relaxation from Alexandria. Energies are from PBE-GGA.

The value obtained for the uncorrected formation energy is -1.143 eV per atom.

The space group is R-3m (No. 166, hexagonal axes) and the conventional cell measures 3.1706, 3.1706 and 20.7378 Å, with angles of 90.00, 90.00 and 120.00 degrees. The inequivalent atoms are Hf at (0.0000, 0.0000, 0.2304), Ir at (0.0000, 0.0000, 0.0000) and N at (0.0000, 0.0000, 0.5000).


(11)
Here is BaZnAsF after structural relaxation from Alexandria. Energies are from PBE-GGA.

The value obtained for the uncorrected formation energy is -1.886 eV per atom.

The space group is P4/nmm (No. 129, origin choice 2) and the conventional cell measures 4.2855, 4.2855 and 9.6734 Å, with angles of 90.00, 90.00 and 90.00 degrees. The inequivalent atoms are Ba at (0.2500, 0.2500, 0.1641), Zn at (0.2500, 0.7500, 0.5000), As at (0.2500, 0.2500, 0.6553) and F at (0.2500, 0.7500, 0.0000).


(12)
Here is CsZnRuBr6 after structural relaxation from Alexandria. Energies are from PBE-GGA.

The value obtained for the uncorrected formation energy is -0.771 eV per atom.

The space group is P312 (No. 149) and the conventional cell measures 6.7454, 6.7454 and 8.2592 Å, with angles of 90.00, 90.00 and 120.00 degrees. The inequivalent atoms are Cs at (0.0000, 0.0000, 0.0000), Zn at (0.3333, 0.6667, 0.5000), Ru at (0.6667, 0.3333, 0.5000) and Br at (0.3744, 0.0140, 0.3246).


| no. | total moment (μB per formula unit) |
| --- | --- |
| 1 | 0.000 |
| 2 | 0.000 |
| 3 | 0.000 |
| 4 | 0.325 |
| 5 | 0.000 |
| 6 | 0.000 |
| 7 | 0.743 |
| 8 | 0.000 |
| 9 | 0.000 |
| 10 | 0.000 |
| 11 | 0.000 |
| 12 | 1.014 |